[1]
A geometry-optimized ScAs2WBr structure, computed with PBE-GGA.

Results
Crystal system: tetragonal
Formation energy (no corrections), eV/f.u.: 1.8
Density, g/cm3: 6.12
DFT total energy, Ry/atom: -0.4178

a = 4.8544 Å, b = 4.8544 Å, c = 5.2807 Å
α = 90.00°, β = 90.00°, γ = 90.00°
Space group P4/mmm (No. 123)
Symmetry-distinct sites (fractional):
Sc 0.0000 0.0000 0.0000
As 0.0000 0.5000 0.5000
W 0.5000 0.5000 0.5000
Br 0.5000 0.5000 0.0000

[2]
A geometry-optimized CaCd2O3 structure, computed with PBE-GGA.

Results
Crystal system: orthorhombic
Formation energy (no corrections), eV/f.u.: -10.1
Density, g/cm3: 6.27
DFT total energy, Ry/atom: -0.3530

a = 3.4053 Å, b = 4.8193 Å, c = 10.0939 Å
α = 90.00°, β = 90.00°, γ = 90.00°
Space group Immm (No. 71)
Symmetry-distinct sites (fractional):
Ca 0.0000 0.0000 0.0000
Cd 0.0000 0.0000 0.3318
O 0.0000 0.5000 0.0000
O 0.0000 0.5000 0.3339

[3]
A geometry-optimized B3PF structure, computed with PBE-GGA.

Results
Crystal system: cubic
Formation energy (no corrections), eV/f.u.: 10.0
Density, g/cm3: 2.45
DFT total energy, Ry/atom: -0.2542

a = 3.8239 Å, b = 3.8239 Å, c = 3.8239 Å
α = 90.00°, β = 90.00°, γ = 90.00°
Space group Pm-3m (No. 221)
Symmetry-distinct sites (fractional):
B 0.0000 0.0000 0.5000
P 0.5000 0.5000 0.5000
F 0.0000 0.0000 0.0000

[4]
A geometry-optimized LaMgIr2 structure, computed with PBE-GGA.

Results
Crystal system: tetragonal
ΔH_f (0 K), eV/atom: -0.38
Density, g/cm3: 11.86
DFT total energy, Ry/atom: -0.4734

a = 4.5023 Å, b = 4.5023 Å, c = 3.7823 Å
α = 90.00°, β = 90.00°, γ = 90.00°
Space group P4/mmm (No. 123)
Symmetry-distinct sites (fractional):
La 0.0000 0.0000 0.0000
Mg 0.5000 0.5000 0.0000
Ir 0.0000 0.5000 0.5000

[5]
A geometry-optimized CuTe2F structure, computed with PBE-GGA.

Results
Crystal system: cubic
Formation energy (no corrections), eV/f.u.: -1.4
Density, g/cm3: 7.72
DFT total energy, Ry/atom: -0.2514

a = 6.6236 Å, b = 6.6236 Å, c = 6.6236 Å
α = 90.00°, β = 90.00°, γ = 90.00°
Space group Fm-3m (No. 225)
Symmetry-distinct sites (fractional):
Cu 0.0000 0.0000 0.0000
Te 0.2500 0.2500 0.2500
F 0.0000 0.0000 0.5000

[6]
A geometry-optimized Na3ThCl7 structure, computed with PBE-GGA.

Results
Crystal system: monoclinic
Formation energy (no corrections), eV/f.u.: -21.5
Density, g/cm3: 2.87
DFT total energy, Ry/atom: -0.3062

a = 9.2512 Å, b = 10.5082 Å, c = 7.5695 Å
α = 90.00°, β = 120.28°, γ = 90.00°
Space group Cm (No. 8)
Symmetry-distinct sites (fractional):
Na 0.0000 0.0000 0.0000
Na 0.0522 0.2658 0.6204
Th 0.4854 0.0000 0.0762
Cl 0.1443 0.0000 0.7583
Cl 0.1627 0.5000 0.8746
Cl 0.2016 0.3357 0.3734
Cl 0.3334 0.0000 0.3058
Cl 0.4145 0.2406 0.8920

[7]
A geometry-optimized Cs2ZnCdHg structure, computed with PBE-GGA.

Results
Crystal system: tetragonal
ΔH_f (0 K), eV/atom: 0.07
Density, g/cm3: 4.07
DFT total energy, Ry/atom: -0.0565

a = 7.1949 Å, b = 7.1949 Å, c = 5.0778 Å
α = 90.00°, β = 90.00°, γ = 90.00°
Space group P4/mmm (No. 123)
Symmetry-distinct sites (fractional):
Cs 0.0000 0.5000 0.0000
Zn 0.0000 0.0000 0.0000
Cd 0.5000 0.5000 0.5000
Hg 0.0000 0.0000 0.5000

[8]
A geometry-optimized Dy3Ge2I2 structure, computed with PBE-GGA.

Results
Crystal system: triclinic
Formation energy (no corrections), eV/f.u.: -6.0
Density, g/cm3: 6.68
DFT total energy, Ry/atom: -0.3370

a = 4.1045 Å, b = 7.2527 Å, c = 7.8107 Å
α = 81.39°, β = 89.95°, γ = 73.66°
Space group P-1 (No. 2)
Symmetry-distinct sites (fractional):
Dy 0.0000 0.0000 0.0000
Dy 0.2446 0.5096 0.7824
Ge 0.3769 0.2471 0.1078
I 0.1244 0.7524 0.3877

[9]
A geometry-optimized ScTa2Fe structure, computed with PBE-GGA.

Results
Crystal system: orthorhombic
ΔH_f (0 K), eV/atom: 0.00
Density, g/cm3: 11.31
DFT total energy, Ry/atom: -0.7077

a = 3.1467 Å, b = 4.5860 Å, c = 9.4113 Å
α = 90.00°, β = 90.00°, γ = 90.00°
Space group Immm (No. 71)
Symmetry-distinct sites (fractional):
Sc 0.0000 0.0000 0.0000
Ta 0.0000 0.5000 0.2261
Fe 0.0000 0.0000 0.5000

[10]
A geometry-optimized CrTeHRhAu2 structure, computed with PBE-GGA.

Results
Crystal system: monoclinic
Density, g/cm3: 11.08
DFT total energy, Ry/atom: -0.3595

a = 11.5867 Å, b = 2.9919 Å, c = 6.2438 Å
α = 90.00°, β = 110.25°, γ = 90.00°
Space group Cm (No. 8)
Symmetry-distinct sites (fractional):
Cr 0.0000 0.0000 0.0000
Te 0.3508 0.0000 0.6230
H 0.0725 0.5000 0.1926
Rh 0.4628 0.0000 0.3248
Au 0.1185 0.0000 0.6869
Au 0.2566 0.5000 0.0736

[11]
A geometry-optimized CaAcPm2Tl4 structure, computed with PBE-GGA.

Results
Crystal system: trigonal
ΔH_f (0 K), eV/atom: -0.37
Density, g/cm3: 9.18
DFT total energy, Ry/atom: -0.2575

a = 5.5667 Å, b = 5.5667 Å, c = 27.7943 Å
α = 90.00°, β = 90.00°, γ = 120.00°
Space group R-3m (No. 166, hexagonal axes)
Symmetry-distinct sites (fractional):
Ca 0.0000 0.0000 0.0000
Ac 0.0000 0.0000 0.5000
Pm 0.0000 0.0000 0.2550
Tl 0.0000 0.0000 0.1224
Tl 0.0000 0.0000 0.3735

[12]
A geometry-optimized Dy2CdS4 structure, computed with PBE-GGA.

Results
Crystal system: monoclinic
Formation energy (no corrections), eV/f.u.: -11.2
Density, g/cm3: 5.43
DFT total energy, Ry/atom: -0.3977

a = 14.3918 Å, b = 3.9677 Å, c = 6.8955 Å
α = 90.00°, β = 118.60°, γ = 90.00°
Space group C2/m (No. 12)
Symmetry-distinct sites (fractional):
Dy 0.2273 0.0000 0.2190
Cd 0.0000 0.5000 0.5000
S 0.1248 0.5000 0.9327
S 0.1393 0.0000 0.4934